(1)
The following is a DFT calculation (GGA-PBE) of crystalline Sm2Dy7Sc2 at its relaxed geometry.

Computed properties:
Distance to the lowest polymorph of the same formula: 217.4 kJ/mol of formula units
Raw total energy: -4.564 eV per atom

Geometry as POSCAR:
```
Sm2Dy7Sc2
1.0
6.3860 -7.9664 0.0000
6.3860 7.9664 0.0000
-0.4516 0.0000 3.5338
Sm Dy Sc
2 7 2
Direct
0.1771 0.8229 0.0000 Sm
0.8229 0.1771 0.0000 Sm
0.1428 0.4960 0.3236 Dy
0.2863 0.2863 0.8688 Dy
0.4960 0.1428 0.3236 Dy
0.5000 0.5000 0.5000 Dy
0.5040 0.8572 0.6764 Dy
0.7137 0.7137 0.1312 Dy
0.8572 0.5040 0.6764 Dy
0.0945 0.0945 0.3507 Sc
0.9055 0.9055 0.6493 Sc
```



(2)
The following is a DFT calculation (GGA-PBE) of crystalline Sm5Dy2Sc at its relaxed geometry.

Computed properties:
Distance to the lowest polymorph of the same formula: 0.0 kJ/mol of formula units
Raw total energy: -4.861 eV per atom

Geometry as POSCAR:
```
Sm5Dy2Sc
1.0
6.1542 0.0000 0.0000
-2.0131 9.1977 0.0000
-2.0203 -1.8536 9.0169
Sm Dy Sc
10 4 2
Direct
0.0000 0.0000 0.0000 Sm
0.0007 0.2504 0.7511 Sm
0.0037 0.7565 0.2503 Sm
0.0046 0.5082 0.5017 Sm
0.4973 0.1253 0.8764 Sm
0.5010 0.2503 0.2497 Sm
0.5033 0.3782 0.6269 Sm
0.5049 0.7565 0.7522 Sm
0.5069 0.6324 0.3743 Sm
0.9973 0.1248 0.3767 Sm
0.0029 0.3799 0.1247 Dy
0.0085 0.6318 0.8763 Dy
0.5001 0.9997 0.5005 Dy
0.5045 0.5074 0.0016 Dy
0.0026 0.8790 0.6259 Sc
0.5006 0.8771 0.1260 Sc
```



(3)
The following is a DFT calculation (GGA-PBE) of crystalline Sm6DySc12 at its relaxed geometry.

Computed properties:
Raw total energy: -5.217 eV per atom

Geometry as POSCAR:
```
Sm6DySc12
1.0
6.4441 3.7205 3.8580
-6.4441 3.7205 3.8580
0.0000 -7.4410 3.8580
Sm Dy Sc
6 1 12
Direct
0.2371 0.7276 0.7276 Sm
0.2724 0.2724 0.7629 Sm
0.2724 0.7629 0.2724 Sm
0.7276 0.2371 0.7276 Sm
0.7276 0.7276 0.2371 Sm
0.7629 0.2724 0.2724 Sm
0.5000 0.5000 0.5000 Dy
0.0000 0.3859 0.6141 Sc
0.0000 0.6141 0.3859 Sc
0.0569 0.0569 0.3448 Sc
0.0569 0.3448 0.0569 Sc
0.3448 0.0569 0.0569 Sc
0.3859 0.0000 0.6141 Sc
0.3859 0.6141 0.0000 Sc
0.6141 0.0000 0.3859 Sc
0.6141 0.3859 0.0000 Sc
0.6552 0.9431 0.9431 Sc
0.9431 0.6552 0.9431 Sc
0.9431 0.9431 0.6552 Sc
```



(4)
The following is a DFT calculation (GGA-PBE) of crystalline SmDySc5 at its relaxed geometry.

Computed properties:
Raw total energy: -5.484 eV per atom

Geometry as POSCAR:
```
SmDySc5
1.0
5.1477 0.0000 0.0000
0.0000 5.1477 0.0000
0.0000 0.0000 7.5323
Sm Dy Sc
1 1 5
Direct
0.0000 0.0000 0.0000 Sm
0.5000 0.5000 0.5000 Dy
0.0000 0.5000 0.2744 Sc
0.0000 0.5000 0.7256 Sc
0.5000 0.0000 0.2744 Sc
0.5000 0.0000 0.7256 Sc
0.5000 0.5000 0.0000 Sc
```



(5)
The following is a DFT calculation (GGA-PBE) of crystalline Sm4DySc at its relaxed geometry.

Computed properties:
Distance to the lowest polymorph of the same formula: 47.7 kJ/mol of formula units
Raw total energy: -4.851 eV per atom

Geometry as POSCAR:
```
Sm4DySc
1.0
5.5584 -2.9266 0.0000
5.5584 2.9266 0.0000
-0.0065 0.0000 5.8605
Sm Dy Sc
4 1 1
Direct
0.1584 0.1584 0.0009 Sm
0.3402 0.3402 0.5002 Sm
0.6598 0.6598 0.4998 Sm
0.8416 0.8416 0.9991 Sm
0.5000 0.5000 0.0000 Dy
0.0000 0.0000 0.5000 Sc
```



(6)
The following is a DFT calculation (GGA-PBE) of crystalline Sm3Dy8Sc3 at its relaxed geometry.

Computed properties:
Raw total energy: -4.620 eV per atom

Geometry as POSCAR:
```
Sm3Dy8Sc3
1.0
-2.6908 4.7926 8.5973
2.6908 -4.7926 8.5973
2.6908 4.7926 -8.5973
Sm Dy Sc
3 8 3
Direct
0.0000 0.0000 0.0000 Sm
0.2576 0.5000 0.7576 Sm
0.7424 0.5000 0.2424 Sm
0.1131 0.8759 0.2372 Dy
0.1436 0.2995 0.8441 Dy
0.3613 0.1241 0.2372 Dy
0.4554 0.2995 0.1559 Dy
0.5446 0.7005 0.8441 Dy
0.6387 0.8759 0.7628 Dy
0.8564 0.7005 0.1559 Dy
0.8869 0.1241 0.7628 Dy
0.1703 0.6703 0.5000 Sc
0.5000 0.0000 0.5000 Sc
0.8297 0.3297 0.5000 Sc
```



What did we get for formation enthalpy at 0 K? Answer: 36.0 2.9 49.7 35.7 11.4 36.5 kJ per mole of atoms, in the order shown.
What did we get for density? Answer: 7.057 7.299 4.800 4.473 7.045 7.062 Mg/m³, in the order shown.
What did we get for total magnetization? Answer: 0.00 0.00 0.04 0.00 0.00 0.00 μB per formula unit, in the order shown.